## Ac3CdGa3 (PBE)

Data for Ac3CdGa3 after structural relaxation.

Computed properties:
Energy of formation from the pure elements = -46.6 kJ per mole of atoms
Total energy = -51.4 eV per cell

abc: 6.3792 6.3792 15.4290
angles: 108.95 108.95 44.39
With the nearest neighbours (Å) after each atom.
Fractional positions:
Ac  0.0332  0.0332  0.3781  6 Ga 3.38-3.51, 4 Cd 3.43-3.52
Ac  0.1026  0.1026  0.9205  7 Ga 3.36-3.45
Ac  0.2465  0.2465  0.2186  6 Ga 3.33-3.48, 2 Cd 3.67
Ac  0.7535  0.7535  0.7814  6 Ga 3.33-3.48, 2 Cd 3.67
Ac  0.8974  0.8974  0.0795  7 Ga 3.36-3.45
Ac  0.9668  0.9668  0.6219  6 Ga 3.38-3.51, 4 Cd 3.43-3.52
Cd  0.2525  0.2525  0.6019  4 Ga 2.83-3.06
Cd  0.7475  0.7475  0.3981  4 Ga 2.83-3.06
Ga  0.3769  0.3769  0.4579  1 Ga 2.74, 3 Cd 2.83-3.06
Ga  0.3970  0.3970  0.9279  2 Ga 2.66-2.72
Ga  0.4551  0.4551  0.7722  1 Ga 2.72, 1 Cd 2.87
Ga  0.5449  0.5449  0.2278  1 Ga 2.72, 1 Cd 2.87
Ga  0.6030  0.6030  0.0721  2 Ga 2.66-2.72
Ga  0.6231  0.6231  0.5421  1 Ga 2.74, 3 Cd 2.83-3.06



## Sc2Nb3C4 (PBE)

Data for Sc2Nb3C4 after structural relaxation.

Computed properties:
Energy of formation from the pure elements = -58.2 kJ per mole of atoms
Total energy = -85.2 eV per cell

abc: 5.5448 5.5448 7.9424
angles: 117.67 117.67 33.48
With the nearest neighbours (Å) after each atom.
Fractional positions:
Sc  0.1044  0.1044  0.3930  4 C 2.24-2.33
Sc  0.8956  0.8956  0.6070  4 C 2.24-2.33
Nb  0.2898  0.2898  0.1833  5 C 2.14-2.25
Nb  0.5000  0.5000  0.0000  6 C 2.27-2.29
Nb  0.7102  0.7102  0.8167  5 C 2.14-2.25
C  0.1038  0.1038  0.9038  5 Nb 2.14-2.27, 1 Sc 2.32
C  0.2975  0.2975  0.7048  3 Nb 2.24-2.29, 3 Sc 2.24-2.33
C  0.7025  0.7025  0.2952  3 Nb 2.24-2.29, 3 Sc 2.24-2.33
C  0.8962  0.8962  0.0962  5 Nb 2.14-2.27, 1 Sc 2.32



## In3CoRe (PBE)

Data for In3CoRe after structural relaxation.

Computed properties:
Energy of formation from the pure elements = 112.9 kJ per mole of atoms
Total energy = -21.9 eV per cell

abc: 5.2013 5.2013 5.2013
angles: 90.00 90.00 90.00
With the nearest neighbours (Å) after each atom.
Fractional positions:
In  0.0000  0.0000  0.5000  2 Re 2.60
In  0.0000  0.5000  0.0000  2 Re 2.60
In  0.5000  0.0000  0.0000  2 Re 2.60
Co  0.5000  0.5000  0.5000  12 In 3.68
Re  0.0000  0.0000  0.0000  6 In 2.60



## Li3Ac2CuPt4 (PBE)

Data for Li3Ac2CuPt4 after structural relaxation.

Computed properties:
Energy of formation from the pure elements = -69.3 kJ per mole of atoms
Total energy = -49.4 eV per cell

abc: 4.2630 4.2630 10.5666
angles: 90.00 90.00 90.00
With the nearest neighbours (Å) after each atom.
Fractional positions:
Li  0.0000  0.0000  0.0000  4 Pt 2.62
Li  0.0000  0.5000  0.6194  5 Pt 2.48-2.51
Li  0.5000  0.0000  0.3806  5 Pt 2.48-2.51
Ac  0.0000  0.5000  0.2575  8 Pt 3.25-3.33, 6 Li 3.28-3.46, 2 Cu 3.46
Ac  0.5000  0.0000  0.7425  8 Pt 3.25-3.33, 6 Li 3.28-3.46, 2 Cu 3.46
Cu  0.5000  0.5000  0.0000  4 Pt 2.62
Pt  0.0000  0.0000  0.5000  4 Li 2.48
Pt  0.0000  0.5000  0.8566  3 Li 2.51-2.62, 2 Cu 2.62
Pt  0.5000  0.0000  0.1434  3 Li 2.51-2.62, 2 Cu 2.62
Pt  0.5000  0.5000  0.5000  4 Li 2.48



## TbPm2PrSe5 (PBE)

Data for TbPm2PrSe5 after structural relaxation.

Computed properties:
Total energy = -47.5 eV per cell
Energy relative to the elements, uncorrected = -1.245 eV per atom

abc: 5.1688 5.1688 11.0802
angles: 90.00 90.00 90.00
With the nearest neighbours (Å) after each atom.
Fractional positions:
Tb  0.0000  0.0000  0.0000  6 Se 2.58-2.76
Pm  0.5000  0.5000  0.1623  4 Se 3.15
Pm  0.5000  0.5000  0.8377  4 Se 3.15
Pr  0.0000  0.0000  0.5000  2 Se 2.78
Se  0.0000  0.0000  0.2488  1 Tb 2.76, 1 Pr 2.78
Se  0.0000  0.0000  0.7512  1 Tb 2.76, 1 Pr 2.78
Se  0.0000  0.5000  0.0000  2 Tb 2.58
Se  0.5000  0.0000  0.0000  2 Tb 2.58
Se  0.5000  0.5000  0.5000  4 Pr 3.65, 2 Pm 3.74



## SmSbF (PBE)

Data for SmSbF after structural relaxation.

Computed properties:
Total energy = -17.0 eV per cell
Energy relative to the elements, uncorrected = -2.105 eV per atom

abc: 4.0420 4.0420 4.8557
angles: 90.00 90.00 120.00
With the nearest neighbours (Å) after each atom.
Fractional positions:
Sm  0.0000  0.0000  0.0000  3 F 2.33
Sb  0.6667  0.3333  0.5000  6 Sm 3.37, 6 F 3.37
F  0.3333  0.6667  0.0000  3 Sm 2.33



## DyPa2OsC4 (PBE)

Data for DyPa2OsC4 after structural relaxation.

Computed properties:
Energy of formation from the pure elements = -13.1 kJ per mole of atoms
Total energy = -145.6 eV per cell

abc: 6.1376 6.1376 12.0430
angles: 90.00 90.00 146.43
With the nearest neighbours (Å) after each atom.
Fractional positions:
Dy  0.1178  0.8822  0.7500  6 C 2.68-2.78
Dy  0.8822  0.1178  0.2500  6 C 2.68-2.78
Pa  0.3666  0.6334  0.5424  6 C 2.39-2.63
Pa  0.3666  0.6334  0.9576  6 C 2.39-2.63
Pa  0.6334  0.3666  0.0424  6 C 2.39-2.63
Pa  0.6334  0.3666  0.4576  6 C 2.39-2.63
Os  0.1467  0.8533  0.2500  4 C 2.01-2.02
Os  0.8533  0.1467  0.7500  4 C 2.01-2.02
C  0.0000  0.0000  0.0000  4 Pa 2.42
C  0.0000  0.0000  0.5000  4 Pa 2.42
C  0.2641  0.7359  0.1287  1 Os 2.01
C  0.2641  0.7359  0.3713  1 Os 2.01
C  0.4355  0.5645  0.7500  2 Os 2.02
C  0.5645  0.4355  0.2500  2 Os 2.02
C  0.7359  0.2641  0.6287  1 Os 2.01
C  0.7359  0.2641  0.8713  1 Os 2.01



## ZrInCl2 (PBE)

Data for ZrInCl2 after structural relaxation.

Computed properties:
Total energy = -56.1 eV per cell
Energy relative to the elements, uncorrected = -0.931 eV per atom

abc: 3.4349 3.4349 28.5477
angles: 90.00 90.00 120.00
With the nearest neighbours (Å) after each atom.
Fractional positions:
Zr  0.0000  0.0000  0.0000  3 Cl 2.62
Zr  0.3333  0.6667  0.6667  3 Cl 2.62
Zr  0.6667  0.3333  0.3333  3 Cl 2.62
In  0.0000  0.0000  0.2495  3 Cl 2.74
In  0.3333  0.6667  0.9161  3 Cl 2.74
In  0.6667  0.3333  0.5828  3 Cl 2.74
Cl  0.0000  0.0000  0.5166  3 In 2.74
Cl  0.0000  0.0000  0.7267  3 Zr 2.62
Cl  0.3333  0.6667  0.1833  3 In 2.74
Cl  0.3333  0.6667  0.3934  3 Zr 2.62
Cl  0.6667  0.3333  0.0601  3 Zr 2.62
Cl  0.6667  0.3333  0.8499  3 In 2.74



## Ac2HoP3Rh4 (PBE)

Data for Ac2HoP3Rh4 after structural relaxation.

Computed properties:
Energy of formation from the pure elements = -97.6 kJ per mole of atoms
Total energy = -68.5 eV per cell

abc: 4.1381 4.1381 11.3327
angles: 90.00 90.00 90.00
With the nearest neighbours (Å) after each atom.
Fractional positions:
Ac  0.0000  0.5000  0.2308  8 Rh 3.15-3.34, 4 P 3.19
Ac  0.5000  0.0000  0.7692  8 Rh 3.15-3.34, 4 P 3.19
Ho  0.0000  0.0000  0.5000  4 Rh 2.80, 4 P 2.93
P  0.0000  0.5000  0.8804  5 Rh 2.43-2.47
P  0.5000  0.0000  0.1196  5 Rh 2.43-2.47
P  0.5000  0.5000  0.5000  4 Rh 2.80, 4 Ho 2.93
Rh  0.0000  0.0000  0.0000  4 P 2.47
Rh  0.0000  0.5000  0.6659  1 P 2.43
Rh  0.5000  0.0000  0.3341  1 P 2.43
Rh  0.5000  0.5000  0.0000  4 P 2.47



## KMgPb2 (PBE)

Data for KMgPb2 after structural relaxation.

Computed properties:
Energy of formation from the pure elements = -14.3 kJ per mole of atoms
Total energy = -10.7 eV per cell

abc: 3.8666 3.8666 8.4039
angles: 90.00 90.00 90.00
With the nearest neighbours (Å) after each atom.
Fractional positions:
K  0.0000  0.0000  0.0000  8 Pb 3.74, 4 K 3.87
Mg  0.0000  0.0000  0.5000  8 Pb 3.19
Pb  0.5000  0.5000  0.3033  4 Mg 3.19, 1 Pb 3.31
Pb  0.5000  0.5000  0.6967  4 Mg 3.19, 1 Pb 3.31



> Among the records above, which one has the highest total energy?

KMgPb2



What did the seventh record say?
## DyPa2OsC4 (PBE)

Data for DyPa2OsC4 after structural relaxation.

Computed properties:
Energy of formation from the pure elements = -13.1 kJ per mole of atoms
Total energy = -145.6 eV per cell

abc: 6.1376 6.1376 12.0430
angles: 90.00 90.00 146.43
With the nearest neighbours (Å) after each atom.
Fractional positions:
Dy  0.1178  0.8822  0.7500  6 C 2.68-2.78
Dy  0.8822  0.1178  0.2500  6 C 2.68-2.78
Pa  0.3666  0.6334  0.5424  6 C 2.39-2.63
Pa  0.3666  0.6334  0.9576  6 C 2.39-2.63
Pa  0.6334  0.3666  0.0424  6 C 2.39-2.63
Pa  0.6334  0.3666  0.4576  6 C 2.39-2.63
Os  0.1467  0.8533  0.2500  4 C 2.01-2.02
Os  0.8533  0.1467  0.7500  4 C 2.01-2.02
C  0.0000  0.0000  0.0000  4 Pa 2.42
C  0.0000  0.0000  0.5000  4 Pa 2.42
C  0.2641  0.7359  0.1287  1 Os 2.01
C  0.2641  0.7359  0.3713  1 Os 2.01
C  0.4355  0.5645  0.7500  2 Os 2.02
C  0.5645  0.4355  0.2500  2 Os 2.02
C  0.7359  0.2641  0.6287  1 Os 2.01
C  0.7359  0.2641  0.8713  1 Os 2.01



> What is the formula in the ninth record?

Ac2HoP3Rh4